(1)
# Y2TaFe

A relaxed Y2TaFe crystal (PBE, the Alexandria database).

a b c (Å): 8.021 8.021 6.318
angles (deg): 50.60 50.60 90.00
Positions (direct):
Y 0.560 0.125 0.250
Y 0.875 0.810 0.750
Y 0.375 0.440 0.750
Y 0.190 0.625 0.250
Ta 0.750 0.250 0.500
Ta 0.000 0.000 0.000
Fe 0.250 0.750 0.500
Fe 0.500 0.500 0.000

Properties
Crystal system: tetragonal
Total moment (μB/f.u.): 0.00
Symmetry: I-42d (122)
Density (kg/m3): 7688


(2)
# Y2TaFe

A relaxed Y2TaFe crystal (PBE, the Alexandria database).

a b c (Å): 5.373 5.373 5.373
angles (deg): 129.70 129.70 73.88
Positions (direct):
Y 0.500 0.500 0.000
Y 0.000 0.000 0.000
Ta 0.750 0.250 0.500
Fe 0.250 0.750 0.500

Properties
Crystal system: tetragonal
Total moment (μB/f.u.): 3.55
Symmetry: I4/mmm (139)
Density (kg/m3): 7686


Energy relative to the most stable one, in kJ/mol of atoms: (1) 19.6; (2) 0.0